[1]
The following is a DFT calculation (PBEsol) of an optimized crystal structure of Hf2TiNiW.

Geometry as POSCAR:
```
Hf2TiNiW
1.0
-0.6122 -0.9905 -4.4041
4.7818 -1.3955 -0.3508
-1.2729 -4.6701 1.2273
Ni Hf W Ti
1 2 1 1
Direct
0.5000 0.5000 0.5000
0.0000 0.0000 0.5000
0.0000 0.5000 0.0000
0.0000 0.0000 0.0000
0.5000 0.0000 0.0000
```

Computed properties:
Total magnetic moment ... 0.00 μB/f.u.
Calculated formation energy ... 1.292 eV per atom
DOS at the Fermi energy ... 1.6121 states/eV/atom
Volume ... 113.6 Å³/cell

***

[2]
The following is a DFT calculation (PBEsol) of an optimized crystal structure of HfTl3Ni.

Geometry as POSCAR:
```
HfTl3Ni
1.0
-5.1424 1.2931 -1.3275
-0.1941 -4.2699 -3.4072
-1.8430 -3.1582 4.0630
Ni Tl Hf
1 3 1
Direct
0.5000 0.5000 0.5000
0.0000 0.5000 0.0000
0.0000 0.0000 0.5000
0.5000 0.0000 0.0000
0.0000 0.0000 0.0000
```

Computed properties:
Total magnetic moment ... 0.75 μB/f.u.
Calculated formation energy ... 1.293 eV per atom
DOS at the Fermi energy ... 2.1083 states/eV/atom
Volume ... 163.3 Å³/cell

***

[3]
The following is a DFT calculation (PBEsol) of an optimized crystal structure of Hf3TlNi.

Geometry as POSCAR:
```
Hf3TlNi
1.0
5.1512 0.0000 0.0000
0.0000 5.1512 0.0000
0.0000 0.0000 5.1512
Ni Tl Hf
1 1 3
Direct
0.5000 0.5000 0.5000
0.0000 0.0000 0.0000
0.0000 0.5000 0.0000
0.0000 0.0000 0.5000
0.5000 0.0000 0.0000
```

Computed properties:
Total magnetic moment ... 0.53 μB/f.u.
Calculated formation energy ... 1.832 eV per atom
DOS at the Fermi energy ... 2.4401 states/eV/atom
Volume ... 136.7 Å³/cell

***

[4]
The following is a DFT calculation (PBEsol) of an optimized crystal structure of Hf2TlNi.

Geometry as POSCAR:
```
Hf2TlNi
1.0
4.7182 0.0000 0.0000
2.3591 4.0861 0.0000
2.3591 1.3620 3.8524
Ni Tl Hf
1 1 2
Direct
0.0000 0.0000 0.0000
0.5000 0.5000 0.5000
0.2500 0.2500 0.2500
0.7500 0.7500 0.7500
```

Computed properties:
Total magnetic moment ... 0.75 μB/f.u.
Calculated formation energy ... 0.020 eV per atom
DOS at the Fermi energy ... 1.2479 states/eV/atom
Volume ... 74.3 Å³/cell

***

[5]
The following is a DFT calculation (PBEsol) of an optimized crystal structure of Y3HfNi.

Geometry as POSCAR:
```
Y3HfNi
1.0
-0.0220 1.9787 4.7190
2.7260 -3.9891 1.6853
4.3304 2.5212 -1.0370
Y Ni Hf
3 1 1
Direct
0.0000 0.5000 0.0000
0.0000 0.0000 0.5000
0.5000 0.0000 0.0000
0.0000 0.0000 0.0000
0.5000 0.5000 0.5000
```

Computed properties:
Total magnetic moment ... 0.02 μB/f.u.
Calculated formation energy ... 0.263 eV per atom
DOS at the Fermi energy ... 1.9010 states/eV/atom
Volume ... 134.0 Å³/cell

***

[6]
The following is a DFT calculation (PBEsol) of an optimized crystal structure of Hf3ZnNi.

Geometry as POSCAR:
```
Hf3ZnNi
1.0
-3.8814 2.3467 -1.2766
-1.7689 -3.9450 -1.8734
-2.0019 -1.0640 4.1306
Ni Zn Hf
1 1 3
Direct
0.0000 0.0000 0.0000
0.5000 0.5000 0.5000
0.0000 0.5000 0.0000
0.0000 0.0000 0.5000
0.5000 0.0000 0.0000
```

Computed properties:
Total magnetic moment ... 0.00 μB/f.u.
Calculated formation energy ... 0.321 eV per atom
Distance to the lowest polymorph of the same formula ... 0 meV per atom
DOS at the Fermi energy ... 1.2504 states/eV/atom
Volume ... 104.6 Å³/cell